Entry 1:
VASP calculation (PBE) on a relaxed LaHo2Tl crystal.

Computed properties:
Energy above the lowest structure with this stoichiometry = 14 meV/atom
E_form = -0.17 eV/atom

Cell: 3.6604 3.6604 9.1477 Å, 90.00 90.00 90.00°
Last column: nearest neighbours and their distance in Å.
Space group P4/mmm (No. 123)
Inequivalent atoms, fractional coordinates:
La (0.0000, 0.0000, 0.0000)  8 Ho 3.64, 4 La 3.66
Ho (0.5000, 0.5000, 0.2790)  4 Tl 3.28, 4 La 3.64, 4 Ho 3.66
Tl (0.0000, 0.0000, 0.5000)  8 Ho 3.28, 4 Tl 3.66

***

Entry 2:
VASP calculation (PBE) on a relaxed Rb2SbSeBr6 crystal.

Computed properties:
Formation energy (no corrections) = -0.8432 eV/atom

Cell: 8.1306 8.1306 11.1316 Å, 90.00 90.00 90.00°
Last column: nearest neighbours and their distance in Å.
Space group I4/mmm (No. 139)
Inequivalent atoms, fractional coordinates:
Rb (0.0000, 0.5000, 0.2500)  12 Br 4.00-4.07
Sb (0.0000, 0.0000, 0.0000)  6 Br 2.78-2.80
Se (0.0000, 0.0000, 0.5000)  6 Br 2.77-2.97
Br (0.0000, 0.0000, 0.2511)  1 Se 2.77, 1 Sb 2.80
Br (0.2417, 0.2417, 0.0000)  1 Sb 2.78, 1 Se 2.97

***

Entry 3:
VASP calculation (PBE) on a relaxed Pm6Dy3Er2Tm crystal.

Computed properties:
E_form = 0.01 eV/atom

Cell: 6.2251 10.7794 11.7838 Å, 90.00 100.10 90.00°
Last column: nearest neighbours and their distance in Å.
Space group C2/m (No. 12)
Inequivalent atoms, fractional coordinates:
Pm (0.2500, 0.0000, 0.2489)  1 Tm 3.55, 2 Er 3.56, 3 Dy 3.58, 6 Pm 3.59
Pm (0.2501, 0.1666, 0.7512)  2 Er 3.55-3.56, 1 Tm 3.56, 3 Dy 3.58, 6 Pm 3.59
Dy (0.0000, 0.0000, 0.5000)  6 Pm 3.58, 6 Dy 3.59
Dy (0.0000, 0.3334, 0.5000)  6 Pm 3.58, 6 Dy 3.59
Er (0.0000, 0.1667, 0.0000)  6 Pm 3.55-3.56, 3 Tm 3.59, 3 Er 3.59
Tm (0.0000, 0.5000, 0.0000)  6 Pm 3.55-3.56, 6 Er 3.59

***

Entry 4:
VASP calculation (PBE) on a relaxed ZrMnTlTe4 crystal.

Computed properties:
Formation energy (no corrections) = -0.4126 eV/atom

Cell: 7.3677 6.1404 10.1877 Å, 90.00 110.24 90.00°
Last column: nearest neighbours and their distance in Å.
Space group P2_1/m (No. 11)
Inequivalent atoms, fractional coordinates:
Zr (0.2301, 0.2500, 0.4406)  8 Te 3.00-3.34, 1 Mn 3.09
Mn (0.2162, 0.7500, 0.6684)  4 Te 2.60-2.71
Tl (0.2614, 0.2500, 0.9585)  6 Te 3.44-3.71
Te (0.0401, 0.7500, 0.3953)  1 Mn 2.63
Te (0.0482, 0.7500, 0.8547)  1 Mn 2.60
Te (0.4738, 0.5059, 0.3078)  1 Mn 2.71, 1 Te 3.00, 1 Zr 3.03

***

Entry 5:
VASP calculation (PBE) on a relaxed Nd2Ge4Pd3Au crystal.

Computed properties:
E_form = -0.76 eV/atom

Cell: 4.3759 4.3759 10.2760 Å, 90.00 90.00 90.00°
Last column: nearest neighbours and their distance in Å.
Space group P-4m2 (No. 115)
Inequivalent atoms, fractional coordinates:
Nd (0.0000, 0.5000, 0.2483)  8 Ge 3.31-3.36, 6 Pd 3.35-3.39, 2 Au 3.39
Ge (0.0000, 0.0000, 0.0000)  4 Pd 2.53
Ge (0.0000, 0.5000, 0.6383)  3 Pd 2.45-2.61, 2 Au 2.61
Ge (0.5000, 0.5000, 0.0000)  4 Pd 2.53
Pd (0.0000, 0.5000, 0.8768)  5 Ge 2.45-2.53
Pd (0.5000, 0.5000, 0.5000)  4 Ge 2.61
Au (0.0000, 0.0000, 0.5000)  4 Ge 2.61

***

Entry 6:
VASP calculation (PBE) on a relaxed UTl2HgI6 crystal.

Computed properties:
Formation energy (no corrections) = -0.6683 eV/atom

Cell: 8.6212 8.6425 9.4165 Å, 62.75 62.76 60.09°
Last column: nearest neighbours and their distance in Å.
Space group P1 (No. 1)
Inequivalent atoms, fractional coordinates:
U (0.0000, 0.0000, 0.0000)  6 I 3.02-3.03
Tl (0.1812, 0.1821, 0.4541)  6 I 3.54-3.56
Tl (0.6598, 0.6585, 0.0217)  6 I 3.54-3.55, 1 Hg 3.89
Hg (0.4978, 0.4965, 0.5088)  1 Tl 3.89, 6 I 3.94-3.97
I (0.0433, 0.3717, 0.7755)  1 U 3.03
I (0.2086, 0.9439, 0.2144)  1 U 3.02
I (0.3719, 0.8098, 0.7749)  1 U 3.03
I (0.6339, 0.2067, 0.2154)  1 U 3.02
I (0.8081, 0.0431, 0.7760)  1 U 3.03
I (0.9443, 0.6338, 0.2149)  1 U 3.02

***

Entry 7:
VASP calculation (PBE) on a relaxed Ca2YNbN4 crystal.

Computed properties:
Formation energy (no corrections) = -1.2298 eV/atom

Cell: 5.8283 3.3386 5.9340 Å, 90.00 108.91 90.00°
Last column: nearest neighbours and their distance in Å.
Space group P2/m (No. 10)
Inequivalent atoms, fractional coordinates:
Ca (0.0000, 0.0000, 0.0000)  6 N 2.55-2.64
Ca (0.5000, 0.5000, 0.0000)  6 N 2.43-2.44
Y (0.0000, 0.5000, 0.5000)  6 N 2.36-2.38
Nb (0.5000, 0.0000, 0.5000)  6 N 2.15-2.24
N (0.2682, 0.0000, 0.7165)  1 Nb 2.15, 2 Y 2.36
N (0.2787, 0.5000, 0.2834)  2 Nb 2.24, 1 Y 2.38, 1 Ca 2.43

***

Entry 8:
VASP calculation (PBE) on a relaxed Tc2Au crystal.

Computed properties:
Energy above the lowest structure with this stoichiometry = 10 meV/atom
E_form = 0.14 eV/atom

Cell: 2.7892 15.2162 4.4350 Å, 90.00 90.00 90.00°
Last column: nearest neighbours and their distance in Å.
Space group Cmcm (No. 63)
Inequivalent atoms, fractional coordinates:
Tc (0.0000, 0.0476, 0.2500)  10 Tc 2.65-2.79, 2 Au 2.91
Tc (0.0000, 0.3989, 0.2500)  8 Tc 2.66-2.79, 2 Au 2.82
Au (0.0000, 0.2846, 0.7500)  6 Au 2.79-2.82, 6 Tc 2.82-3.12

***

Entry 9:
VASP calculation (PBE) on a relaxed Pm12Er6Mg crystal.

Computed properties:
E_form = 0.13 eV/atom

Cell: 13.0733 13.0733 12.9540 Å, 90.00 90.00 120.00°
Last column: nearest neighbours and their distance in Å.
Space group R-3m (No. 166, hexagonal axes)
Inequivalent atoms, fractional coordinates:
Pm (0.0000, 0.2608, 0.0000)  4 Er 3.37-3.52, 1 Mg 3.41, 6 Pm 3.41-3.66
Pm (0.0581, 0.5291, 0.1110)  5 Pm 3.16-3.50
Er (0.0897, 0.1794, 0.7729)  4 Pm 3.37-3.52, 2 Er 3.52, 1 Mg 3.57
Mg (0.0000, 0.0000, 0.0000)  6 Pm 3.41, 6 Er 3.57

***

Entry 10:
VASP calculation (PBE) on a relaxed Ta2TiPd2 crystal.

Computed properties:
E_form = -0.06 eV/atom

Cell: 7.6956 7.6956 2.9427 Å, 90.00 90.00 90.00°
Last column: nearest neighbours and their distance in Å.
Space group P4/mbm (No. 127)
Inequivalent atoms, fractional coordinates:
Ta (0.1744, 0.3256, 0.0000)  6 Pd 2.64-2.76, 2 Ta 2.94
Ti (0.0000, 0.0000, 0.5000)  2 Ti 2.94, 4 Pd 3.04, 8 Ta 3.20
Pd (0.1245, 0.6245, 0.5000)  6 Ta 2.64-2.76, 3 Pd 2.71-2.94

***

Entry 11:
VASP calculation (PBE) on a relaxed Li2NiMo crystal.

Computed properties:
Energy above the lowest structure with this stoichiometry = 25 meV/atom
E_form = 0.18 eV/atom

Cell: 2.5345 4.0366 5.5465 Å, 90.00 103.11 90.00°
Last column: nearest neighbours and their distance in Å.
Space group Pm (No. 6)
Inequivalent atoms, fractional coordinates:
Li (0.0000, 0.0000, 0.0000)  6 Li 2.53-2.63, 1 Ni 2.72
Li (0.4027, 0.5000, 0.7956)  6 Li 2.53-2.63, 2 Ni 2.56, 2 Mo 2.80-2.82
Ni (0.2466, 0.0000, 0.5040)  2 Ni 2.53, 4 Mo 2.56, 3 Li 2.56-2.72
Mo (0.6623, 0.5000, 0.3312)  2 Mo 2.53, 4 Ni 2.56, 2 Li 2.80-2.82

***

Entry 12:
VASP calculation (PBE) on a relaxed BaCeAu2 crystal.

Computed properties:
E_form = -0.54 eV/atom

Cell: 4.4008 4.4008 23.5834 Å, 90.00 90.00 120.00°
Last column: nearest neighbours and their distance in Å.
Space group R3m (No. 160, hexagonal axes)
Inequivalent atoms, fractional coordinates:
Ba (0.0000, 0.0000, 0.0000)  6 Au 3.35-3.43
Ce (0.0000, 0.0000, 0.1707)  6 Au 3.03-3.07
Au (0.0000, 0.0000, 0.5740)  3 Ce 3.03, 3 Ba 3.35
Au (0.0000, 0.0000, 0.7645)  3 Ce 3.07, 3 Ba 3.43

***

| no. | magnetization (μB/cell) |
| --- | --- |
| 1 | 0.00 |
| 2 | 0.00 |
| 3 | 0.00 |
| 4 | 9.26 |
| 5 | 0.00 |
| 6 | 2.00 |
| 7 | 0.00 |
| 8 | 0.00 |
| 9 | 0.00 |
| 10 | 2.12 |
| 11 | 0.00 |
| 12 | 3.19 |